Entry P
The following is a DFT calculation (PBE) of an optimized crystal structure of AsOsPb.

abc: 6.892 6.892 3.120
angles: 76.92 76.91 26.17
Positions (direct):
Pb  0.690  0.690  0.310
As  0.954  0.954  0.046
Os  0.356  0.356  0.644

Results
D(E_F) = 0.536 states/eV/atom
Density = 12.34 g/cm3



Entry Q
The following is a DFT calculation (PBE) of an optimized crystal structure of AsOsPb.

abc: 4.135 4.135 4.686
angles: 90.00 90.00 120.00
Positions (direct):
Pb  0.667  0.333  0.666
As  0.000  0.000  0.166
Os  0.333  0.667  0.168

Results
D(E_F) = 0.688 states/eV/atom
Density = 11.31 g/cm3



Result of the stability comparison: entry P is the most stable of them.